No. 1
## Tb3DyAl2 (PBE)

Data for a geometry-optimized Tb3DyAl2 structure.

Structure (extended XYZ):
```
12
Lattice="5.117 0.000 0.000 0.000 9.510 0.000 0.000 0.000 6.565" Properties=species:S:1:pos:R:3 pbc="T T T"
Tb 0.000 0.394 0.000
Tb 0.000 3.085 2.230
Tb 0.000 6.425 5.512
Tb 0.000 9.116 3.283
Tb 2.559 1.682 4.691
Tb 2.559 7.828 1.408
Dy 2.559 4.357 0.353
Dy 2.559 5.153 3.636
Al 0.000 3.355 5.384
Al 0.000 6.155 2.102
Al 2.559 1.404 1.538
Al 2.559 8.106 4.821
```

Computed properties:
magnetic moment = 0.000 μB per atom
DFT formation energy = -288 meV/atom
symmetry = No. 26

=====

No. 2
## Tb3DyAl (PBE)

Data for a geometry-optimized Tb3DyAl structure.

Structure (extended XYZ):
```
10
Lattice="6.465 -1.802 0.000 6.465 1.802 0.000 -1.127 0.000 12.402" Properties=species:S:1:pos:R:3 pbc="T T T"
Tb 0.221 0.000 2.421
Tb 1.326 0.000 5.565
Tb 4.689 0.000 0.242
Tb 7.114 0.000 12.160
Tb 10.477 0.000 6.837
Tb 11.583 0.000 9.980
Dy 2.029 0.000 9.270
Dy 9.774 0.000 3.131
Al 5.378 0.000 4.704
Al 6.425 0.000 7.698
```

Computed properties:
magnetic moment = 0.083 μB per atom
DFT formation energy = -140 meV/atom
symmetry = No. 12

=====

No. 3
## TbDy4Al2 (PBE)

Data for a geometry-optimized TbDy4Al2 structure.

Structure (extended XYZ):
```
14
Lattice="6.051 0.000 0.000 0.000 10.359 0.000 -2.480 0.000 6.301" Properties=species:S:1:pos:R:3 pbc="T T T"
Tb 0.000 0.000 0.000
Tb -1.240 5.180 3.150
Dy -1.221 1.664 3.149
Dy -2.461 3.515 6.299
Dy 1.770 7.359 3.145
Dy 0.531 8.180 6.295
Dy 3.041 2.179 0.005
Dy 1.801 3.000 3.156
Dy 6.033 6.844 0.002
Dy 4.793 8.695 3.152
Al 2.443 5.186 1.145
Al 1.204 10.353 4.296
Al 2.368 0.006 2.005
Al 1.128 5.174 5.155
```

Computed properties:
magnetic moment = 0.000 μB per atom
DFT formation energy = -83 meV/atom
symmetry = No. 14

=====

No. 4
## Tb12Dy7Al (PBE)

Data for a geometry-optimized Tb12Dy7Al structure.

Structure (extended XYZ):
```
20
Lattice="5.980 3.453 5.146 -5.980 3.453 5.146 0.000 -6.905 5.146" Properties=species:S:1:pos:R:3 pbc="T T T"
Tb -3.830 1.430 3.895
Tb 0.677 -4.032 3.895
Tb -3.012 0.904 7.017
Tb -2.289 -2.156 8.421
Tb -3.153 -2.602 11.544
Tb 0.723 -3.061 7.017
Tb -0.723 3.061 8.421
Tb 3.153 2.602 3.895
Tb 2.289 2.156 7.017
Tb 3.012 -0.904 8.421
Tb -0.677 4.032 11.544
Tb 3.830 -1.430 11.544
Dy 0.000 0.000 0.000
Dy -1.449 -1.368 4.630
Dy -0.460 1.938 4.630
Dy 1.909 -0.571 4.630
Dy -1.909 0.571 10.808
Dy 0.460 -1.938 10.808
Dy 1.449 1.368 10.808
Al 0.000 0.000 7.719
```

Computed properties:
magnetic moment = 0.000 μB per atom
DFT formation energy = 185 meV/atom
symmetry = No. 148

=====

No. 5
## Tb6DyAl2 (PBE)

Data for a geometry-optimized Tb6DyAl2 structure.

Structure (extended XYZ):
```
9
Lattice="-2.388 2.388 13.870 2.388 -2.388 13.870 2.388 2.388 -13.870" Properties=species:S:1:pos:R:3 pbc="T T T"
Tb 1.206 -1.206 11.020
Tb 2.388 0.000 6.935
Tb 1.181 1.181 2.850
Tb -1.206 1.206 11.020
Tb 0.000 2.388 6.935
Tb 1.206 1.206 16.721
Dy 0.000 0.000 0.000
Al 0.000 0.000 8.737
Al 0.000 0.000 19.004
```

Computed properties:
magnetic moment = 0.000 μB per atom
DFT formation energy = 514 meV/atom
symmetry = No. 121

=====

No. 6
## TbDy2Al9 (PBE)

Data for a geometry-optimized TbDy2Al9 structure.

Structure (extended XYZ):
```
12
Lattice="4.262 0.000 0.000 0.000 4.262 0.000 0.000 0.000 12.786" Properties=species:S:1:pos:R:3 pbc="T T T"
Tb 0.000 0.000 0.000
Dy 0.000 0.000 4.266
Dy 0.000 0.000 8.520
Al 0.000 2.131 2.139
Al 0.000 2.131 6.393
Al 0.000 2.131 10.648
Al 2.131 0.000 2.139
Al 2.131 0.000 6.393
Al 2.131 0.000 10.648
Al 2.131 2.131 0.000
Al 2.131 2.131 4.264
Al 2.131 2.131 8.522
```

Computed properties:
magnetic moment = 0.000 μB per atom
DFT formation energy = -421 meV/atom
symmetry = No. 123

=====

No. 7
## Tb2Dy5Al4 (PBE)

Data for a geometry-optimized Tb2Dy5Al4 structure.

Structure (extended XYZ):
```
11
Lattice="-1.653 3.545 13.750 1.653 -3.545 13.750 1.653 3.545 -13.750" Properties=species:S:1:pos:R:3 pbc="T T T"
Tb 0.000 0.000 5.895
Tb 0.000 0.000 21.606
Dy 1.653 0.000 0.000
Dy 1.653 -1.798 10.815
Dy 0.000 1.747 2.936
Dy 1.653 1.798 10.815
Dy 0.000 5.344 2.936
Al 0.000 0.000 8.868
Al 0.000 2.346 0.000
Al 0.000 4.744 0.000
Al 0.000 0.000 18.632
```

Computed properties:
magnetic moment = 0.044 μB per atom
DFT formation energy = 208 meV/atom
symmetry = No. 71

=====

No. 8
## TbDy2Al6 (PBE)

Data for a geometry-optimized TbDy2Al6 structure.

Structure (extended XYZ):
```
9
Lattice="-2.192 3.557 6.770 2.192 -3.557 6.770 2.192 3.557 -6.770" Properties=species:S:1:pos:R:3 pbc="T T T"
Tb 0.000 0.000 0.000
Dy 2.192 0.000 5.095
Dy 0.000 3.557 1.674
Al 2.192 1.379 -2.508
Al 2.192 2.218 0.000
Al 2.192 1.379 2.508
Al 0.000 2.177 4.261
Al 0.000 1.338 6.770
Al 0.000 2.177 9.278
```

Computed properties:
magnetic moment = 0.000 μB per atom
DFT formation energy = -243 meV/atom
symmetry = No. 71

=====

No. 9
## Tb2DyAl6 (PBE)

Data for a geometry-optimized Tb2DyAl6 structure.

Structure (extended XYZ):
```
9
Lattice="7.914 0.000 0.000 -3.957 6.854 0.000 0.000 0.000 3.496" Properties=species:S:1:pos:R:3 pbc="T T T"
Tb 0.000 4.569 0.000
Tb 3.957 2.285 0.000
Dy 0.000 0.000 0.000
Al -1.318 2.283 1.748
Al -2.639 4.571 1.748
Al 2.636 0.000 1.748
Al 1.318 2.283 1.748
Al 5.278 0.000 1.748
Al 2.639 4.571 1.748
```

Computed properties:
magnetic moment = 0.000 μB per atom
DFT formation energy = -502 meV/atom
symmetry = No. 191

=====

No. 10
## Tb2Dy2Al3 (PBE)

Data for a geometry-optimized Tb2Dy2Al3 structure.

Structure (extended XYZ):
```
14
Lattice="3.562 0.000 0.000 0.000 28.264 0.000 0.000 0.000 3.548" Properties=species:S:1:pos:R:3 pbc="T T T"
Tb 0.000 5.465 0.000
Tb 0.000 22.799 0.000
Tb 1.781 8.667 0.000
Tb 1.781 19.597 0.000
Dy 0.000 1.813 0.000
Dy 0.000 26.451 0.000
Dy 1.781 12.319 0.000
Dy 1.781 15.945 0.000
Al 0.000 10.471 1.774
Al 0.000 14.132 1.774
Al 0.000 17.793 1.774
Al 1.781 0.000 1.774
Al 1.781 3.661 1.774
Al 1.781 24.603 1.774
```

Computed properties:
magnetic moment = 0.000 μB per atom
DFT formation energy = -282 meV/atom
symmetry = No. 65